Computed, not measured: an optimized crystal structure of CaCo2Ir at the GGA-PBE level of DFT.

Cell: 3.0082 3.0082 6.9837 Å, 90.00 90.00 90.00°
Closest atoms and distances in Å follow each position.
Atoms (fractional coordinates):
Ca1 0.5000 0.5000 0.7510  4 Ca 3.01, 4 Ir 3.01, 5 Co 3.10-3.34
Ir1 0.0000 0.0000 0.4464  5 Co 2.60-2.61
Co1 0.0000 0.0000 0.0740  4 Co 2.39, 1 Ir 2.60
Co2 0.5000 0.5000 0.2287  4 Co 2.39, 4 Ir 2.61

The calculation puts the total magnetization at 3.78 μB per cell. As for the formation energy: 0.188 eV per atom. The space group is P4mm, No. 99.